No. 1
# LiAc2Pr3Se6

An optimized crystal structure of LiAc2Pr3Se6 (PBE-GGA, the Alexandria database).

Unit cell a=7.4388 b=7.4388 c=7.5434 alpha=99.52 beta=99.52 gamma=120.18
Sites, in units of the cell vectors:
Li  0.0000  0.0000  0.0000
Ac  0.3346  0.6654  0.0000
Ac  0.6654  0.3346  0.0000
Pr  0.1681  0.8319  0.5000
Pr  0.8319  0.1681  0.5000
Pr  0.5000  0.5000  0.5000
Se  0.9169  0.5979  0.7488
Se  0.7663  0.7663  0.2517
Se  0.0831  0.4021  0.2512
Se  0.5979  0.9169  0.7488
Se  0.2337  0.2337  0.7483
Se  0.4021  0.0831  0.2512

Values from the calculation:
Density of states at the Fermi level, states/eV per atom: 0.450
Space group: C2/m, No. 12
Energy relative to the elements, uncorrected, eV/atom: -1.79

No. 2
# ReP2NCl

An optimized crystal structure of ReP2NCl (PBE-GGA, the Alexandria database).

Unit cell a=3.8664 b=3.8664 c=4.3358 alpha=90.00 beta=90.00 gamma=90.00
Sites, in units of the cell vectors:
Re  0.5000  0.5000  0.5000
N  0.0000  0.0000  0.0000
P  0.0000  0.5000  0.0000
P  0.5000  0.0000  0.0000
Cl  0.0000  0.0000  0.5000

Values from the calculation:
Density of states at the Fermi level, states/eV per atom: 0.785
Energy above the lowest structure with this stoichiometry, eV per formula unit: 0.22
Space group: P4/mmm, No. 123
Energy relative to the elements, uncorrected, eV/atom: 1.38

No. 3
# Ho12Tm5Th

An optimized crystal structure of Ho12Tm5Th (PBE-GGA, the Alexandria database).

Unit cell a=6.1122 b=6.1104 c=17.2307 alpha=86.61 beta=83.21 gamma=59.99
Sites, in units of the cell vectors:
Ho  0.8879  0.0000  0.3337
Ho  0.1121  0.0000  0.6663
Ho  0.7242  0.0000  0.8341
Ho  0.2758  0.0000  0.1659
Ho  0.3874  0.6685  0.8341
Ho  0.9441  0.6685  0.1659
Ho  0.0559  0.3315  0.8341
Ho  0.6127  0.3315  0.1659
Ho  0.4453  0.3334  0.6667
Ho  0.7786  0.6666  0.6667
Ho  0.2214  0.3334  0.3333
Ho  0.5547  0.6666  0.3333
Tm  0.5000  0.0000  0.5000
Tm  0.1662  0.6676  0.5000
Tm  0.8338  0.3324  0.5000
Tm  0.6667  0.6666  0.0000
Tm  0.3333  0.3334  0.0000
Th  0.0000  0.0000  0.0000

Values from the calculation:
Density of states at the Fermi level, states/eV per atom: 1.333
Space group: C2/m, No. 12
ΔE_f, eV per atom: 0.012

No. 4
# Ac2PmDyHo

An optimized crystal structure of Ac2PmDyHo (PBE-GGA, the Alexandria database).

Unit cell a=6.6822 b=9.0144 c=6.4314 alpha=90.00 beta=90.00 gamma=90.00
Sites, in units of the cell vectors:
Ac  0.7111  0.7027  0.7500
Ac  0.7111  0.2973  0.7500
Ac  0.2889  0.7027  0.2500
Ac  0.2889  0.2973  0.2500
Pm  0.5801  0.0000  0.2500
Pm  0.4199  0.0000  0.7500
Dy  0.1829  0.5000  0.7500
Dy  0.8171  0.5000  0.2500
Ho  0.0000  0.0000  0.0000
Ho  0.0000  0.0000  0.5000

Values from the calculation:
Density of states at the Fermi level, states/eV per atom: 1.272
Space group: Pmma, No. 51
ΔE_f, eV per atom: 0.275

No. 5
# TmPu2In

An optimized crystal structure of TmPu2In (PBE-GGA, the Alexandria database).

Unit cell a=5.3596 b=5.3596 c=5.3596 alpha=60.00 beta=60.00 gamma=60.00
Last column: magnetic moment on the atom in μB.
Sites, in units of the cell vectors:
Tm  0.0000  0.0000  0.0000  0.48
In  0.5000  0.5000  0.5000  -0.05
Pu  0.2500  0.2500  0.2500  5.49
Pu  0.7500  0.7500  0.7500  5.49

Values from the calculation:
Density of states at the Fermi level, states/eV per atom: 3.270
Energy above the lowest structure with this stoichiometry, eV per formula unit: 0.82
Space group: Fm-3m, No. 225
ΔE_f, eV per atom: 0.084

No. 6
# La3ThHg2

An optimized crystal structure of La3ThHg2 (PBE-GGA, the Alexandria database).

Unit cell a=3.7459 b=3.7459 c=13.1982 alpha=90.00 beta=90.00 gamma=90.00
Sites, in units of the cell vectors:
La  0.0000  0.0000  0.0000
La  0.0000  0.0000  0.6804
La  0.0000  0.0000  0.3196
Th  0.5000  0.5000  0.5000
Hg  0.5000  0.5000  0.8407
Hg  0.5000  0.5000  0.1593

Values from the calculation:
Density of states at the Fermi level, states/eV per atom: 0.909
Space group: P4/mmm, No. 123
ΔE_f, eV per atom: -0.335